Entry 1:
The following is a DFT calculation (GGA-PBE) of a relaxed structure of LiCr2Au.

abc: 4.643 4.643 4.643
angles: 128.02 128.24 76.42
Last column: magnetic moment on the atom in μB.
Element x y z (fractional)
1 Li 0.500 0.500 0.000  -0.01
2 Au 0.250 0.750 0.500  0.04
3 Cr 0.000 0.000 0.000  3.25
4 Cr 0.750 0.250 0.500  -3.31

Energy relative to the elements = 0.1214 eV/atom
V = 15.047 A^3/atom
Space group = Imm2 (44)
Magnetization = 0.097 μB per formula unit



Entry 2:
The following is a DFT calculation (GGA-PBE) of a relaxed structure of LiCr2Au.

abc: 2.702 2.702 8.623
angles: 90.00 90.00 114.15
Element x y z (fractional)
1 Au 0.500 0.500 0.751
2 Li 0.000 0.000 0.493
3 Cr 0.500 0.500 0.223
4 Cr 0.000 0.000 0.033

Energy relative to the elements = 0.1870 eV/atom
V = 14.365 A^3/atom
Space group = Cmm2 (35)
Magnetization = 0.000 μB per formula unit



Entry 3:
The following is a DFT calculation (GGA-PBE) of a relaxed structure of LiCrAu2.

abc: 5.072 5.072 4.712
angles: 79.99 79.99 34.01
Last column: magnetic moment on the atom in μB.
Element x y z (fractional)
1 Cr 0.508 0.508 0.459  3.59
2 Au 0.001 0.001 0.958  0.08
3 Au 0.249 0.249 0.293  0.08
4 Li 0.742 0.742 0.791  -0.01

Energy relative to the elements = -0.1114 eV/atom
V = 16.670 A^3/atom
Space group = Cm (8)
Magnetization = 4.127 μB per formula unit



Entry 4:
The following is a DFT calculation (GGA-PBE) of a relaxed structure of LiCrAu2.

abc: 2.885 4.198 5.554
angles: 90.00 90.00 90.00
Last column: magnetic moment on the atom in μB.
Element x y z (fractional)
1 Au 0.000 0.000 0.966  0.08
2 Au 0.500 0.500 0.281  0.11
3 Cr 0.000 0.000 0.478  3.68
4 Li 0.500 0.500 0.775  0.01

Energy relative to the elements = -0.0463 eV/atom
V = 16.817 A^3/atom
Space group = Pmm2 (25)
Magnetization = 4.327 μB per formula unit



Entry 5:
The following is a DFT calculation (GGA-PBE) of a relaxed structure of LiCr2Au.

abc: 5.020 5.020 2.560
angles: 90.00 90.00 123.66
Last column: magnetic moment on the atom in μB.
Element x y z (fractional)
1 Cr 0.000 0.000 0.000  0.21
2 Cr 0.500 0.500 0.000  0.21
3 Li 0.500 0.000 0.500  0.00
4 Au 0.000 0.500 0.500  0.03

Energy relative to the elements = 0.3950 eV/atom
V = 13.423 A^3/atom
Space group = Cmmm (65)
Magnetization = 0.472 μB per formula unit



Entry 6:
The following is a DFT calculation (GGA-PBE) of a relaxed structure of LiCrAu2.

abc: 5.072 5.072 5.072
angles: 134.35 134.35 66.54
Last column: magnetic moment on the atom in μB.
Element x y z (fractional)
1 Li 0.750 0.250 0.500  0.01
2 Au 0.000 0.000 0.000  0.08
3 Au 0.250 0.750 0.500  0.06
4 Cr 0.500 0.500 0.000  3.67

Energy relative to the elements = -0.1291 eV/atom
V = 16.416 A^3/atom
Space group = I-4m2 (119)
Magnetization = 4.230 μB per formula unit